No. 1
Density functional theory data (PBE) for YSb4Pt after structural relaxation.

```
6
Lattice="1.570 2.547 5.293 -4.298 1.670 3.963 -0.715 -3.087 5.189" Properties=species:S:1:pos:R:3 pbc="T T T"
Sb -1.288 0.423 5.404
Sb -0.497 1.706 8.070
Sb -1.648 -1.132 8.018
Sb -3.453 1.264 7.400
Y -2.582 0.848 10.834
Pt 0.000 0.000 0.000
```

Results
spin magnetization	0.00	μB/cell
formation energy (no corrections)	0.142	eV per atom
total DFT energy (no corrections)	-0.345	Ry per atom
symmetry	F-43m, No. 216

=====

No. 2
Density functional theory data (PBE) for YSb2Pt after structural relaxation.

```
4
Lattice="5.872 0.021 0.047 4.507 3.765 0.047 1.757 0.641 4.209" Properties=species:S:1:pos:R:3 pbc="T T T"
Sb 10.146 3.701 0.213
Sb 9.045 3.300 3.292
Pt 3.260 1.189 0.918
Y 6.132 2.237 2.125
```

Results
spin magnetization	0.00	μB/cell
formation energy (no corrections)	-0.627	eV per atom
total DFT energy (no corrections)	-0.427	Ry per atom
symmetry	Cm, No. 8

=====

No. 3
Density functional theory data (PBE) for YSb2Pt after structural relaxation.

```
4
Lattice="3.735 -0.001 0.000 -1.140 3.556 0.000 0.000 0.000 7.241" Properties=species:S:1:pos:R:3 pbc="T T T"
Sb 0.000 0.000 7.005
Sb 0.000 0.000 3.856
Pt 1.297 1.777 5.431
Y 1.297 1.777 1.810
```

Results
spin magnetization	0.00	μB/cell
formation energy (no corrections)	-0.478	eV per atom
total DFT energy (no corrections)	-0.416	Ry per atom
symmetry	Cmmm, No. 65

=====

No. 4
Density functional theory data (PBE) for Y2SbPt after structural relaxation.

```
4
Lattice="7.309 -0.012 -0.008 5.982 4.200 -0.008 5.982 1.885 3.753" Properties=species:S:1:pos:R:3 pbc="T T T"
Sb 14.974 4.717 2.904
Y 4.158 1.310 0.806
Y 0.523 0.165 0.101
Pt 9.257 2.916 1.795
```

Results
spin magnetization	0.95	μB/cell
formation energy (no corrections)	-0.649	eV per atom
total DFT energy (no corrections)	-0.472	Ry per atom
symmetry	R3m, No. 160

=====

No. 5
Density functional theory data (PBE) for Y4SbPt after structural relaxation.

```
12
Lattice="-2.387 -2.252 5.186 4.464 -4.847 -0.050 6.299 5.782 1.841" Properties=species:S:1:pos:R:3 pbc="T T T"
Y 3.039 -3.943 2.200
Y 5.338 2.626 4.777
Y 1.843 1.690 0.541
Y 4.304 -0.586 6.462
Y 4.073 -0.732 0.515
Y 2.230 -0.224 3.641
Y 6.146 -1.094 3.336
Y 6.533 -3.007 6.437
Pt 4.080 1.492 2.460
Pt 4.297 -2.809 4.518
Sb 7.455 0.085 5.907
Sb 0.922 -1.402 1.070
```

Results
spin magnetization	0.00	μB/cell
offset from the most stable computed form	0.000	eV per atom
formation energy (no corrections)	-0.832	eV per atom
total DFT energy (no corrections)	-0.502	Ry per atom
symmetry	P2_1/m, No. 11

=====

No. 6
Density functional theory data (PBE) for YSb2Pt after structural relaxation.

```
4
Lattice="-3.535 -0.787 -0.659 0.625 -3.525 0.856 -1.517 1.325 6.561" Properties=species:S:1:pos:R:3 pbc="T T T"
Pt -2.593 -1.162 5.020
Sb -0.816 0.713 3.529
Sb -1.460 1.275 6.313
Y -1.835 -1.825 1.739
```

Results
spin magnetization	0.00	μB/cell
formation energy (no corrections)	-0.324	eV per atom
total DFT energy (no corrections)	-0.405	Ry per atom
symmetry	P4/mmm, No. 123

=====

No. 7
Density functional theory data (PBE) for YSb2Pt after structural relaxation.

```
4
Lattice="5.122 0.000 0.000 2.561 4.436 0.000 2.561 1.479 4.182" Properties=species:S:1:pos:R:3 pbc="T T T"
Sb 0.000 0.000 0.000
Sb 2.561 1.479 1.046
Pt 5.122 2.957 2.091
Y 7.683 4.436 3.137
```

Results
spin magnetization	0.00	μB/cell
formation energy (no corrections)	-0.405	eV per atom
total DFT energy (no corrections)	-0.411	Ry per atom
symmetry	F-43m, No. 216

=====

No. 8
Density functional theory data (PBE) for YSb3Pt after structural relaxation.

```
5
Lattice="-2.069 -5.266 -0.030 4.094 -1.588 -3.568 3.313 -1.327 4.391" Properties=species:S:1:pos:R:3 pbc="T T T"
Y 0.000 0.000 0.000
Pt 2.669 -4.091 0.396
Sb -1.035 -2.633 -0.015
Sb 2.047 -0.794 -1.784
Sb 1.656 -0.663 2.196
```

Results
spin magnetization	0.00	μB/cell
offset from the most stable computed form	0.932	eV per atom
formation energy (no corrections)	0.924	eV per atom
total DFT energy (no corrections)	-0.298	Ry per atom
symmetry	Pm-3m, No. 221

=====

No. 9
Density functional theory data (PBE) for YSb2Pt2 after structural relaxation.

```
5
Lattice="4.318 0.000 0.000 0.000 4.318 0.000 2.159 2.159 6.137" Properties=species:S:1:pos:R:3 pbc="T T T"
Y 0.000 0.000 0.000
Sb 4.318 2.159 3.069
Sb 2.159 4.318 3.069
Pt 4.318 4.318 4.818
Pt 2.159 2.159 1.320
```

Results
spin magnetization	0.00	μB/cell
formation energy (no corrections)	-0.577	eV per atom
total DFT energy (no corrections)	-0.436	Ry per atom
symmetry	I4/mmm, No. 139

=====

No. 10
Density functional theory data (PBE) for YSb2Pt after structural relaxation.

```
4
Lattice="-6.529 -0.356 1.217 -5.406 -3.623 -1.373 -4.604 -3.853 2.864" Properties=species:S:1:pos:R:3 pbc="T T T"
Pt -12.405 -5.874 2.031
Sb -8.015 -3.795 1.312
Sb -0.255 -0.121 0.042
Y -4.135 -1.958 0.677
```

Results
spin magnetization	0.00	μB/cell
formation energy (no corrections)	-0.545	eV per atom
total DFT energy (no corrections)	-0.421	Ry per atom
symmetry	R-3m, No. 166

=====

No. 11
Density functional theory data (PBE) for YSb2Pt after structural relaxation.

```
4
Lattice="7.489 -0.018 -0.011 6.345 3.979 -0.011 6.345 1.816 3.540" Properties=species:S:1:pos:R:3 pbc="T T T"
Y 9.807 2.808 1.710
Sb 5.131 1.469 0.895
Sb 0.259 0.074 0.045
Pt 15.071 4.315 2.627
```

Results
spin magnetization	0.00	μB/cell
formation energy (no corrections)	-0.476	eV per atom
total DFT energy (no corrections)	-0.416	Ry per atom
symmetry	R3m, No. 160

=====

No. 12
Density functional theory data (PBE) for Y5SbPt2 after structural relaxation.

```
16
Lattice="8.792 0.003 0.000 1.934 8.577 0.000 -5.363 -4.290 5.489" Properties=species:S:1:pos:R:3 pbc="T T T"
Y 7.497 4.696 2.745
Y 0.000 0.000 0.000
Y 0.215 -3.343 4.474
Y 2.149 5.234 1.016
Y 3.214 -0.944 4.474
Y 5.363 4.290 0.000
Y 5.148 7.633 1.016
Y 0.865 1.993 2.745
Y -2.134 -0.406 2.745
Y 4.498 2.297 2.745
Sb 2.681 2.145 0.000
Sb 8.044 6.435 0.000
Pt -1.715 2.143 4.259
Pt 7.077 2.146 1.231
Pt 4.594 5.251 2.745
Pt 0.769 -0.961 2.745
```

Results
spin magnetization	0.00	μB/cell
formation energy (no corrections)	-1.001	eV per atom
total DFT energy (no corrections)	-0.519	Ry per atom
symmetry	I4/mcm, No. 140